! NaRhBr2F | Alexandria | PBE-GGA | relaxed; values from VASP
&SYSTEM
  ibrav = 0, nat = 5, ntyp = 4
/
ATOMIC_SPECIES
Na 22.99 Na.upf
Rh 102.91 Rh.upf
Br 79.90 Br.upf
F 19.00 F.upf
CELL_PARAMETERS angstrom
5.746 0.000 0.000
0.000 5.746 0.000
0.000 0.000 3.887
ATOMIC_POSITIONS angstrom
Na 0.000 0.000 0.000
Rh 2.873 2.873 0.000
Br 0.000 2.873 1.944
Br 2.873 0.000 1.944
F 2.873 2.873 1.944
! Raw formation energy ... -0.380 eV/atom

---

! NaScBr2F | Alexandria | PBE-GGA | relaxed; values from VASP
&SYSTEM
  ibrav = 0, nat = 5, ntyp = 4
/
ATOMIC_SPECIES
Na 22.99 Na.upf
Sc 44.96 Sc.upf
Br 79.90 Br.upf
F 19.00 F.upf
CELL_PARAMETERS angstrom
5.560 0.000 0.000
0.000 5.560 0.000
0.000 0.000 4.103
ATOMIC_POSITIONS angstrom
Na 0.000 0.000 0.000
Sc 2.780 2.780 2.051
Br 0.000 2.780 2.051
Br 2.780 0.000 2.051
F 2.780 2.780 0.000
! Raw formation energy ... -1.952 eV/atom

---

! NaSc2BrF | Alexandria | PBE-GGA | relaxed; values from VASP
&SYSTEM
  ibrav = 0, nat = 5, ntyp = 4
/
ATOMIC_SPECIES
Na 22.99 Na.upf
Sc 44.96 Sc.upf
Br 79.90 Br.upf
F 19.00 F.upf
CELL_PARAMETERS angstrom
5.727 0.000 0.000
0.000 5.727 0.000
0.000 0.000 3.951
ATOMIC_POSITIONS angstrom
Na 0.000 0.000 0.000
Sc 0.000 2.864 0.000
Sc 2.864 0.000 0.000
Br 2.864 2.864 1.975
F 0.000 0.000 1.975
! Raw formation energy ... -0.208 eV/atom

---

! NaSrBr2F | Alexandria | PBE-GGA | relaxed; values from VASP
&SYSTEM
  ibrav = 0, nat = 5, ntyp = 4
/
ATOMIC_SPECIES
Na 22.99 Na.upf
Sr 87.62 Sr.upf
Br 79.90 Br.upf
F 19.00 F.upf
CELL_PARAMETERS angstrom
6.053 0.000 0.000
0.000 6.053 0.000
0.000 0.000 4.605
ATOMIC_POSITIONS angstrom
Na 0.000 0.000 0.000
Sr 3.027 3.027 2.302
Br 0.000 3.027 2.302
Br 3.027 0.000 2.302
F 3.027 3.027 0.000
! Raw formation energy ... -2.224 eV/atom

---

! NaSrBrF2 | Alexandria | PBE-GGA | relaxed; values from VASP
&SYSTEM
  ibrav = 0, nat = 5, ntyp = 4
/
ATOMIC_SPECIES
Na 22.99 Na.upf
Sr 87.62 Sr.upf
Br 79.90 Br.upf
F 19.00 F.upf
CELL_PARAMETERS angstrom
4.654 0.000 0.000
0.000 4.654 0.000
0.000 0.000 6.319
ATOMIC_POSITIONS angstrom
Na 0.000 0.000 0.000
Sr 2.327 2.327 3.159
Br 2.327 2.327 0.000
F 0.000 2.327 3.159
F 2.327 0.000 3.159
! Raw formation energy ... -2.725 eV/atom
! Distance to the lowest polymorph of the same formula ... 176 meV per atom

---

! NaSrBrF2 | Alexandria | PBE-GGA | relaxed; values from VASP
&SYSTEM
  ibrav = 0, nat = 5, ntyp = 4
/
ATOMIC_SPECIES
Na 22.99 Na.upf
Sr 87.62 Sr.upf
Br 79.90 Br.upf
F 19.00 F.upf
CELL_PARAMETERS angstrom
-2.063 2.063 6.456
2.063 -2.063 6.456
2.063 2.063 -6.456
ATOMIC_POSITIONS angstrom
Na 0.000 0.000 0.000
Sr 0.000 0.000 4.229
Br 0.000 0.000 8.909
F 2.063 0.000 5.461
F 0.000 2.063 5.461
! Raw formation energy ... -2.902 eV/atom
! Distance to the lowest polymorph of the same formula ... 0 meV per atom